No. 1
Computed, not measured: a geometry-optimized CsMnSeI2 structure at the PBE-GGA level of DFT.

The energy relative to the lowest polymorph listed for this composition comes out at 606.7 meV per atom. Its energy relative to the elements, uncorrected is -66 meV/atom. The total energy comes out at -3.3872 eV per atom. Its crystal system is tetragonal.

a = 5.2443 Å, b = 5.2443 Å, c = 7.0942 Å
α = 90.00°, β = 90.00°, γ = 90.00°
Space group P4/mmm (No. 123)
Inequivalent atoms, fractional coordinates:
Cs 0.0000 0.0000 0.0000 x1
Mn 0.0000 0.0000 0.5000 x1
Se 0.5000 0.5000 0.0000 x1
I 0.0000 0.5000 0.5000 x2



No. 2
Computed, not measured: a geometry-optimized TbSm5Tl structure at the PBE-GGA level of DFT.

The energy relative to the lowest polymorph listed for this composition comes out at 0.0 meV per atom. The total energy comes out at -4.1935 eV per atom. Its crystal system is tetragonal. Its formation enthalpy at 0 K is 0.18 eV/atom.

a = 4.7791 Å, b = 4.7791 Å, c = 10.5008 Å
α = 90.00°, β = 90.00°, γ = 90.00°
Space group P4/mmm (No. 123)
Inequivalent atoms, fractional coordinates:
Tb 0.0000 0.0000 0.0000 x1
Sm 0.0000 0.5000 0.2572 x4
Sm 0.5000 0.5000 0.5000 x1
Tl 0.0000 0.0000 0.5000 x1